(1)
This record from Alexandria describes a relaxed structure of Al2WSe. The functional is PBE.

Computed properties:
formation energy without anion corrections: 26.1 kJ per mole of atoms
total energy: -5.710 eV/atom
crystal system: monoclinic
total moment: 0.000 μB per cell
density: 7.9 Mg/m³

Cell lengths 4.5413, 3.1304, 5.0574 Å; angles 90.00, 111.80, 90.00 degrees
Sites, in units of the cell vectors:
Al (0.0000, 0.0000, 0.0000)
Al (0.0000, 0.5000, 0.5000)
W (0.5000, 0.0000, 0.5000)
Se (0.5000, 0.5000, 0.0000)

---

(2)
This record from Alexandria describes a relaxed structure of Al2WSe. The functional is PBE.

Computed properties:
formation energy without anion corrections: 6.7 kJ per mole of atoms
total energy: -5.911 eV/atom
crystal system: tetragonal
total moment: 0.000 μB per cell
density: 8.1 Mg/m³

Cell lengths 3.3387, 3.3387, 5.8314 Å; angles 90.00, 90.00, 90.00 degrees
Sites, in units of the cell vectors:
Al (0.0000, 0.0000, 0.2273)
Al (0.0000, 0.0000, 0.7727)
W (0.5000, 0.5000, 0.0000)
Se (0.5000, 0.5000, 0.5000)

---

(3)
This record from Alexandria describes a relaxed structure of Al2WSe. The functional is PBE.

Computed properties:
formation energy without anion corrections: 9.5 kJ per mole of atoms
total energy: -5.882 eV/atom
crystal system: trigonal
total moment: 0.000 μB per cell
density: 7.9 Mg/m³

Cell lengths 8.3574, 8.3574, 8.3574 Å; angles 21.13, 21.13, 21.13 degrees
Sites, in units of the cell vectors:
Al (0.2495, 0.2495, 0.2495)
Al (0.7505, 0.7505, 0.7505)
W (0.0000, 0.0000, 0.0000)
Se (0.5000, 0.5000, 0.5000)

---

(4)
This record from Alexandria describes a relaxed structure of AlWSe2. The functional is PBE.

Computed properties:
formation energy without anion corrections: 25.2 kJ per mole of atoms
total energy: -5.655 eV/atom
crystal system: orthorhombic
total moment: 0.000 μB per cell
density: 8.6 Mg/m³

Cell lengths 5.4790, 5.4790, 5.4790 Å; angles 146.78, 127.24, 63.79 degrees
Sites, in units of the cell vectors:
Al (0.0000, 0.0000, 0.0000)
W (0.7393, 0.2393, 0.5000)
Se (0.2344, 0.7344, 0.5000)
Se (0.5263, 0.5263, 0.0000)

---

(5)
This record from Alexandria describes a relaxed structure of AlWSe2. The functional is PBE.

Computed properties:
formation energy without anion corrections: -3.7 kJ per mole of atoms
total energy: -5.955 eV/atom
crystal system: trigonal
total moment: 0.000 μB per cell
density: 7.4 Mg/m³

Cell lengths 9.3303, 9.3303, 9.3303 Å; angles 19.92, 19.92, 19.92 degrees
Sites, in units of the cell vectors:
Al (0.0000, 0.0000, 0.0000)
W (0.5000, 0.5000, 0.5000)
Se (0.1023, 0.1023, 0.1023)
Se (0.8977, 0.8977, 0.8977)

---

(6)
This record from Alexandria describes a relaxed structure of AlWSe2. The functional is PBE.

Computed properties:
formation energy without anion corrections: 75.6 kJ per mole of atoms
total energy: -5.132 eV/atom
crystal system: cubic
total moment: 0.002 μB per cell
density: 8.8 Mg/m³

Cell lengths 4.6212, 4.6212, 4.6212 Å; angles 60.00, 60.00, 60.00 degrees
Sites, in units of the cell vectors:
Al (0.0000, 0.0000, 0.0000)
W (0.7500, 0.7500, 0.7500)
Se (0.2500, 0.2500, 0.2500)
Se (0.5000, 0.5000, 0.5000)